First-principles (PBE) data for a relaxed structure of Cr2CuIr, as listed in the Alexandria database.

abc: 5.7219 4.5571 2.6110
angles: 89.88 63.07 119.87
Positions (direct):
Cr: 0.0000 0.0000 0.0000
Cr: 0.5000 0.0000 0.5000
Cu: 0.0000 0.5000 0.5000
Ir: 0.5000 0.5000 0.0000

## Properties
SG: C2/m
Density (g/cm³): 11.876
Total magnetization (μB/f.u.): 0.00
ΔH_f (0 K) (meV/atom): 94
DOS at the Fermi energy (states/eV/f.u.): 4.48

***

First-principles (PBE) data for a relaxed structure of NaPmGe2Br8, as listed in the Alexandria database.

abc: 7.0691 6.6553 8.6344
angles: 89.08 88.54 87.95
Positions (direct):
Br: 0.8468 0.2532 0.2450
Br: 0.6522 0.7242 0.4811
Br: 0.3284 0.2535 0.9783
Br: 0.3478 0.2758 0.5189
Br: 0.1787 0.7703 0.2444
Br: 0.6716 0.7465 0.0217
Br: 0.8213 0.2297 0.7556
Br: 0.1532 0.7468 0.7550
Ge: 0.4752 0.4742 0.7389
Ge: 0.5248 0.5258 0.2611
Pm: 0.0000 0.0000 0.0000
Na: 0.0000 0.0000 0.5000

## Properties
SG: P-1
Density (g/cm³): 3.898
Formation energy (no corrections) (eV per atom): -1.136
Total magnetization (μB/f.u.): 0.00
DOS at the Fermi energy (states/eV/f.u.): 0.00

***

First-principles (PBE) data for a relaxed structure of NdAsRhS, as listed in the Alexandria database.

abc: 4.5111 4.5111 8.4908
angles: 90.00 90.00 90.00
Positions (direct):
As: 0.0000 0.5000 0.8691
As: 0.5000 0.0000 0.1309
Nd: 0.5000 0.0000 0.6845
Nd: 0.0000 0.5000 0.3155
S: 0.0000 0.0000 0.5000
S: 0.5000 0.5000 0.5000
Rh: 0.0000 0.0000 0.0000
Rh: 0.5000 0.5000 0.0000

## Properties
SG: P4/nmm
Density (g/cm³): 6.807
Formation energy (no corrections) (eV per atom): -1.142
Total magnetization (μB/f.u.): 0.00
DOS at the Fermi energy (states/eV/f.u.): 2.68

***

First-principles (PBE) data for a relaxed structure of Rb2BaSbBr6, as listed in the Alexandria database.

abc: 8.7821 8.7821 8.6073
angles: 59.33 59.33 90.00
Positions (direct):
Br: 0.7349 0.7349 0.5303
Br: 0.7464 0.2536 0.0000
Br: 0.7464 0.7464 0.0000
Br: 0.2536 0.2536 0.0000
Br: 0.2536 0.7464 0.0000
Br: 0.2651 0.2651 0.4697
Rb: 0.2500 0.7500 0.5000
Rb: 0.7500 0.2500 0.5000
Sb: 0.5000 0.5000 0.0000
Ba: 0.0000 0.0000 0.0000

## Properties
SG: I4/mmm
Density (g/cm³): 3.285
Formation energy (no corrections) (eV per atom): -1.309
Total magnetization (μB/f.u.): 1.00
DOS at the Fermi energy (states/eV/f.u.): 5.22

***

First-principles (PBE) data for a relaxed structure of Na3TaCu, as listed in the Alexandria database.

abc: 5.2607 5.2607 5.2607
angles: 90.00 90.00 90.00
Positions (direct):
Na: 0.0000 0.5000 0.0000
Na: 0.0000 0.0000 0.5000
Na: 0.5000 0.0000 0.0000
Ta: 0.5000 0.5000 0.5000
Cu: 0.0000 0.0000 0.0000

## Properties
Energy relative to the lowest polymorph listed for this composition (meV per atom): 0
SG: Pm-3m
Density (g/cm³): 3.575
Total magnetization (μB/f.u.): 4.33
ΔH_f (0 K) (meV/atom): 1381
DOS at the Fermi energy (states/eV/f.u.): 5.96

***

First-principles (PBE) data for a relaxed structure of Li4Ac2Sn3Au, as listed in the Alexandria database.

abc: 4.7435 4.7435 10.6547
angles: 90.00 90.00 90.00
Positions (direct):
Li: 0.0000 0.5000 0.3842
Li: 0.5000 0.0000 0.6158
Li: 0.0000 0.0000 0.0000
Li: 0.5000 0.5000 0.0000
Sn: 0.5000 0.0000 0.8667
Sn: 0.0000 0.0000 0.5000
Sn: 0.0000 0.5000 0.1333
Ac: 0.0000 0.5000 0.7498
Ac: 0.5000 0.0000 0.2502
Au: 0.5000 0.5000 0.5000

## Properties
SG: P-4m2
Density (g/cm³): 7.168
Total magnetization (μB/f.u.): 0.00
ΔH_f (0 K) (meV/atom): -555
DOS at the Fermi energy (states/eV/f.u.): 4.67